# 1
Below is an optimized crystal structure of Sm3DyNi2, with properties calculated at the PBE-GGA level.

Lattice parameters (Å, degrees): 3.925 8.414 9.975 77.36 78.65 76.51
Element x y z (fractional)
Sm: 0.581 0.281 0.557
Sm: 0.419 0.719 0.443
Sm: 0.155 0.938 0.753
Sm: 0.845 0.062 0.247
Sm: 0.418 0.226 0.939
Sm: 0.582 0.774 0.061
Dy: 0.843 0.565 0.750
Dy: 0.157 0.435 0.250
Ni: 0.768 0.415 0.050
Ni: 0.232 0.585 0.950
Ni: 0.232 0.088 0.449
Ni: 0.768 0.912 0.551

## Properties
The calculation puts the formation enthalpy at 0 K at -24 kJ/mol of atoms. Its crystal system is monoclinic.

---

# 2
Below is an optimized crystal structure of SmDy2Ni, with properties calculated at the PBE-GGA level.

Lattice parameters (Å, degrees): 6.380 6.889 9.625 90.00 90.00 90.00
Element x y z (fractional)
Dy: 0.676 0.823 0.567
Dy: 0.824 0.323 0.933
Dy: 0.824 0.323 0.567
Dy: 0.176 0.677 0.433
Dy: 0.176 0.677 0.067
Dy: 0.324 0.177 0.067
Dy: 0.324 0.177 0.433
Dy: 0.676 0.823 0.933
Ni: 0.065 0.389 0.250
Ni: 0.935 0.611 0.750
Ni: 0.565 0.111 0.750
Ni: 0.435 0.889 0.250
Sm: 0.140 0.968 0.750
Sm: 0.640 0.532 0.250
Sm: 0.860 0.032 0.250
Sm: 0.360 0.468 0.750

## Properties
The calculation puts the formation enthalpy at 0 K at -22 kJ/mol of atoms. Its crystal system is orthorhombic.

---

# 3
Below is an optimized crystal structure of Sm3DyNi, with properties calculated at the PBE-GGA level.

Lattice parameters (Å, degrees): 3.683 6.380 12.767 87.76 81.71 73.23
Element x y z (fractional)
Sm: 0.776 0.055 0.393
Sm: 0.989 0.107 0.915
Sm: 0.099 0.166 0.636
Sm: 0.438 0.613 0.512
Sm: 0.445 0.956 0.153
Sm: 0.769 0.705 0.757
Dy: 0.223 0.558 0.997
Dy: 0.115 0.500 0.269
Ni: 0.438 0.338 0.786
Ni: 0.769 0.337 0.124

## Properties
The calculation puts the formation enthalpy at 0 K at -14 kJ/mol of atoms. Its crystal system is monoclinic.

---

# 4
Below is an optimized crystal structure of Sm12DyNi6, with properties calculated at the PBE-GGA level.

Lattice parameters (Å, degrees): 8.691 8.691 8.691 109.47 109.47 109.47
Element x y z (fractional)
Sm: 0.185 0.688 0.873
Sm: 0.688 0.873 0.185
Sm: 0.815 0.688 0.504
Sm: 0.185 0.312 0.496
Sm: 0.312 0.127 0.815
Sm: 0.312 0.496 0.185
Sm: 0.127 0.815 0.312
Sm: 0.504 0.815 0.688
Sm: 0.496 0.185 0.312
Sm: 0.688 0.504 0.815
Sm: 0.815 0.312 0.127
Sm: 0.873 0.185 0.688
Ni: 0.122 0.622 0.500
Ni: 0.500 0.878 0.378
Ni: 0.622 0.500 0.122
Ni: 0.378 0.500 0.878
Ni: 0.500 0.122 0.622
Ni: 0.878 0.378 0.500
Dy: 0.000 0.000 0.000

## Properties
The calculation puts the formation enthalpy at 0 K at -19 kJ/mol of atoms. Its crystal system is cubic.

---

# 5
Below is an optimized crystal structure of SmDy12Ni6, with properties calculated at the PBE-GGA level.

Lattice parameters (Å, degrees): 8.520 8.520 8.520 109.47 109.47 109.47
Element x y z (fractional)
Dy: 0.311 0.127 0.816
Dy: 0.504 0.816 0.689
Dy: 0.127 0.816 0.311
Dy: 0.816 0.689 0.504
Dy: 0.816 0.311 0.127
Dy: 0.496 0.184 0.311
Dy: 0.311 0.496 0.184
Dy: 0.184 0.311 0.496
Dy: 0.873 0.184 0.689
Dy: 0.184 0.689 0.873
Dy: 0.689 0.504 0.816
Dy: 0.689 0.873 0.184
Ni: 0.500 0.124 0.624
Ni: 0.124 0.624 0.500
Ni: 0.376 0.500 0.876
Ni: 0.876 0.376 0.500
Ni: 0.624 0.500 0.124
Ni: 0.500 0.876 0.376
Sm: 0.000 0.000 0.000

## Properties
The calculation puts the formation enthalpy at 0 K at -23 kJ/mol of atoms. Its crystal system is cubic.

---

# 6
Below is an optimized crystal structure of Sm3DyNi8, with properties calculated at the PBE-GGA level.

Lattice parameters (Å, degrees): 5.110 5.110 8.874 73.27 73.27 60.00
Element x y z (fractional)
Ni: 0.937 0.437 0.190
Ni: 0.437 0.437 0.190
Ni: 0.188 0.188 0.437
Ni: 0.440 0.937 0.686
Ni: 0.937 0.937 0.686
Ni: 0.937 0.440 0.686
Ni: 0.437 0.937 0.190
Ni: 0.688 0.688 0.938
Dy: 0.875 0.875 0.375
Sm: 0.500 0.500 0.499
Sm: 0.375 0.375 0.875
Sm: 0.000 0.000 0.001

## Properties
The calculation puts the formation enthalpy at 0 K at -37 kJ/mol of atoms. Its crystal system is trigonal.

---

# 7
Below is an optimized crystal structure of SmDy4Ni2, with properties calculated at the PBE-GGA level.

Lattice parameters (Å, degrees): 6.583 8.899 6.777 112.69 90.00 90.00
Element x y z (fractional)
Dy: 0.500 0.556 0.279
Dy: 0.750 0.794 0.758
Dy: 0.000 0.556 0.279
Dy: 0.750 0.001 0.332
Dy: 0.500 0.444 0.721
Dy: 0.250 0.206 0.242
Dy: 0.250 0.999 0.668
Dy: 0.000 0.444 0.721
Sm: 0.750 0.201 0.956
Sm: 0.250 0.799 0.044
Ni: 0.250 0.666 0.623
Ni: 0.250 0.334 0.955
Ni: 0.750 0.666 0.045
Ni: 0.750 0.334 0.377

## Properties
The calculation puts the formation enthalpy at 0 K at -17 kJ/mol of atoms. Its crystal system is monoclinic.

---

# 8
Below is an optimized crystal structure of SmDyNi2, with properties calculated at the PBE-GGA level.

Lattice parameters (Å, degrees): 3.362 4.860 4.860 90.00 90.00 90.00
Element x y z (fractional)
Sm: 0.500 0.500 0.500
Ni: 0.000 0.000 0.500
Ni: 0.000 0.500 0.000
Dy: 0.500 0.000 0.000

## Properties
The calculation puts the formation enthalpy at 0 K at -32 kJ/mol of atoms. Its crystal system is tetragonal.

---

# 9
Below is an optimized crystal structure of SmDy2Ni2, with properties calculated at the PBE-GGA level.

Lattice parameters (Å, degrees): 3.652 4.352 7.563 106.72 90.00 90.00
Element x y z (fractional)
Ni: 0.000 0.803 0.605
Ni: 0.000 0.197 0.395
Sm: 0.000 0.000 0.000
Dy: 0.500 0.345 0.690
Dy: 0.500 0.655 0.310

## Properties
The calculation puts the formation enthalpy at 0 K at -32 kJ/mol of atoms. Its crystal system is orthorhombic.

---

# 10
Below is an optimized crystal structure of SmDy2Ni, with properties calculated at the PBE-GGA level.

Lattice parameters (Å, degrees): 3.575 3.575 10.643 80.33 80.33 60.00
Element x y z (fractional)
Ni: 0.500 0.500 0.500
Dy: 0.889 0.889 0.334
Dy: 0.111 0.111 0.666
Sm: 0.000 0.000 0.000

## Properties
The calculation puts the formation enthalpy at 0 K at 6 kJ/mol of atoms. Its crystal system is trigonal.